[1]
Entry from Alexandria via LeMat-Bulk: ScAuSe after structural relaxation (PBE).

Computed properties:
As for the crystal system: tetragonal. As for the space group: No. 107. The calculation puts the calculated total energy at -5.233 eV/atom. Its formation energy (no corrections) is -869 meV/atom. The value obtained for the total magnetization is 0.000 μB/atom. For the density of states at the Fermi level, the calculation gives 0.09 states/eV/atom.

Lattice parameters (Å, degrees): 6.0708 6.0694 3.3716 73.90 73.85 32.25
Positions (direct):
1 Au 0.0170 0.0170 0.9830
2 Sc 0.6813 0.6813 0.3187
3 Se 0.3017 0.3017 0.6983


[2]
Entry from Alexandria via LeMat-Bulk: ScAuSe after structural relaxation (PBE).

Computed properties:
As for the crystal system: cubic. As for the space group: No. 216. The calculation puts the calculated total energy at -4.864 eV/atom. Its formation energy (no corrections) is -499 meV/atom. The value obtained for the total magnetization is 0.000 μB/atom. For the density of states at the Fermi level, the calculation gives 0.91 states/eV/atom.

Lattice parameters (Å, degrees): 4.5794 4.5794 4.5794 60.00 60.00 60.00
Positions (direct):
1 Au 0.0000 0.0000 0.0000
2 Sc 0.5000 0.5000 0.5000
3 Se 0.7500 0.7500 0.7500


[3]
Entry from Alexandria via LeMat-Bulk: Sc3AuSe after structural relaxation (PBE).

Computed properties:
As for the crystal system: cubic. As for the space group: No. 221. The calculation puts the calculated total energy at -5.635 eV/atom. Its formation energy (no corrections) is -483 meV/atom. The value obtained for the total magnetization is 0.000 μB/atom. For the density of states at the Fermi level, the calculation gives 0.96 states/eV/atom.

Lattice parameters (Å, degrees): 4.9241 4.9241 4.9241 90.00 90.00 90.00
Positions (direct):
1 Sc 0.0000 0.5000 0.0000
2 Sc 0.0000 0.0000 0.5000
3 Sc 0.5000 0.0000 0.0000
4 Au 0.5000 0.5000 0.5000
5 Se 0.0000 0.0000 0.0000


[4]
Entry from Alexandria via LeMat-Bulk: ScAu4Se after structural relaxation (PBE).

Computed properties:
As for the crystal system: cubic. As for the space group: No. 216. The calculation puts the calculated total energy at -4.052 eV/atom. Its formation energy (no corrections) is -231 meV/atom. The value obtained for the total magnetization is 0.000 μB/atom. For the density of states at the Fermi level, the calculation gives 0.65 states/eV/atom.

Lattice parameters (Å, degrees): 5.5394 5.5394 5.5394 60.00 60.00 60.00
Positions (direct):
1 Sc 0.7500 0.7500 0.7500
2 Au 0.8747 0.3751 0.3751
3 Au 0.3751 0.3751 0.8747
4 Au 0.3751 0.8747 0.3751
5 Au 0.3751 0.3751 0.3751
6 Se 0.0000 0.0000 0.0000


[5]
Entry from Alexandria via LeMat-Bulk: Sc2AuSe after structural relaxation (PBE).

Computed properties:
As for the crystal system: orthorhombic. As for the space group: No. 71. The calculation puts the calculated total energy at -5.731 eV/atom. Its formation energy (no corrections) is -875 meV/atom. The value obtained for the total magnetization is 0.000 μB/atom. For the density of states at the Fermi level, the calculation gives 0.83 states/eV/atom.

Lattice parameters (Å, degrees): 5.0856 5.0856 5.0856 133.72 117.48 81.22
Positions (direct):
1 Au 0.2500 0.7500 0.5000
2 Sc 0.9862 0.9862 0.0000
3 Sc 0.5138 0.5138 0.0000
4 Se 0.7500 0.2500 0.5000


[6]
Entry from Alexandria via LeMat-Bulk: Sc2AuSe after structural relaxation (PBE).

Computed properties:
As for the crystal system: orthorhombic. As for the space group: No. 38. The calculation puts the calculated total energy at -5.853 eV/atom. Its formation energy (no corrections) is -996 meV/atom. The value obtained for the total magnetization is 0.000 μB/atom. For the density of states at the Fermi level, the calculation gives 0.90 states/eV/atom.

Lattice parameters (Å, degrees): 5.6903 5.6903 4.2372 90.03 90.03 36.98
Positions (direct):
1 Au 0.2595 0.2595 0.1247
2 Sc 0.0039 0.0039 0.1254
3 Sc 0.7491 0.7491 0.6247
4 Se 0.4874 0.4874 0.6253


[7]
Entry from Alexandria via LeMat-Bulk: Sc2AuSe after structural relaxation (PBE).

Computed properties:
As for the crystal system: tetragonal. As for the space group: No. 119. The calculation puts the calculated total energy at -5.682 eV/atom. Its formation energy (no corrections) is -826 meV/atom. The value obtained for the total magnetization is 0.000 μB/atom. For the density of states at the Fermi level, the calculation gives 0.69 states/eV/atom.

Lattice parameters (Å, degrees): 5.9722 5.9722 5.9722 141.63 141.63 55.39
Positions (direct):
1 Au 0.7500 0.2500 0.5000
2 Sc 0.0000 0.0000 0.0000
3 Sc 0.2500 0.7500 0.5000
4 Se 0.5000 0.5000 0.0000


[8]
Entry from Alexandria via LeMat-Bulk: Sc2AuSe after structural relaxation (PBE).

Computed properties:
As for the crystal system: tetragonal. As for the space group: No. 123. The calculation puts the calculated total energy at -5.822 eV/atom. Its formation energy (no corrections) is -965 meV/atom. The value obtained for the total magnetization is 0.327 μB/atom. For the density of states at the Fermi level, the calculation gives 0.82 states/eV/atom.

Lattice parameters (Å, degrees): 3.4593 3.4593 6.5977 90.00 90.00 90.00
Site moments in Bohr magnetons follow the coordinates.
Positions (direct):
1 Au 0.5000 0.5000 0.7500  0.04
2 Sc 0.0000 0.0000 0.0055  0.44
3 Sc 0.0000 0.0000 0.4945  0.44
4 Se 0.5000 0.5000 0.2500  -0.02